VASP calculation (PBE) on a relaxed structure of ZrTeOs.

Values from the calculation:
Space-group type   No. 107
ΔE_f (raw)   0.100 eV/f.u.

Geometry as POSCAR:
```
ZrTeOs
1.0
-1.647 1.647 5.661
1.647 -1.647 5.661
1.647 1.647 -5.661
Zr Te Os
1 1 1
Cartesian
0.000 0.000 0.000 Zr
0.000 0.000 7.906 Te
0.000 0.000 4.169 Os
```

***

VASP calculation (PBE) on a relaxed structure of HfTlS2.

Values from the calculation:
Space-group type   No. 123
ΔE_f (raw)   -1.108 eV/f.u.

Geometry as POSCAR:
```
HfTlS2
1.0
4.860 0.000 0.000
0.000 4.860 0.000
0.000 0.000 3.333
Hf Tl S
1 1 2
Cartesian
0.000 0.000 0.000 Hf
2.430 2.430 0.000 Tl
0.000 2.430 1.666 S
2.430 0.000 1.666 S
```

***

VASP calculation (PBE) on a relaxed structure of NaCd3.

Values from the calculation:
DFT formation energy   -39 meV per atom
Space-group type   No. 44

Geometry as POSCAR:
```
NaCd3
1.0
-1.543 5.359 2.859
1.543 -5.359 2.859
1.543 5.359 -2.859
Na Cd
1 3
Cartesian
0.000 0.000 0.000 Na
1.543 2.756 -0.974 Cd
0.000 5.359 0.050 Cd
0.000 2.603 1.884 Cd
```

***

Record-wise calculated volume values, in Å³ per cell: 61.42; 78.70; 94.58
Record-wise M_tot values, in μB/f.u.: 0.000; 0.000; 0.000
Record-wise ρ values, in Mg/m³: 11.060; 9.432; 6.324